one | A crystal of CdOs2 relaxed with PBEsol, computed with meta-GGA SCAN.

Results
Space-group type = No. 191

Cell: 2.768 4.441 4.441 Å, 120.00 90.00 90.00°
Fractional positions:
Os: 0.500 0.667 0.333
Os: 0.500 0.333 0.667
Cd: 0.000 0.000 0.000

two | A crystal of CdOs2 relaxed with PBEsol, computed with meta-GGA SCAN.

Results
Space-group type = No. 139

Cell: 2.802 2.802 6.308 Å, 102.83 102.83 90.00°
Fractional positions:
Os: 0.318 0.318 0.635
Os: 0.682 0.682 0.365
Cd: 0.000 0.000 0.000

On energetic grounds, two is preferred over the next structure by 0.419 eV/atom.

one | A crystal of CdReOs relaxed with PBEsol, computed with meta-GGA SCAN.

Results
Space-group type = No. 42

Cell: 2.738 2.738 7.317 Å, 95.87 95.87 116.94°
Fractional positions:
Re: 0.323 0.323 0.646
Os: 0.676 0.676 0.352
Cd: 0.001 0.001 0.001

two | A crystal of CdReOs relaxed with PBEsol, computed with meta-GGA SCAN.

Results
Space-group type = No. 107

Cell: 2.846 2.846 6.262 Å, 103.14 103.14 90.00°
Fractional positions:
Re: 0.316 0.316 0.632
Os: 0.683 0.683 0.366
Cd: 0.001 0.001 0.002

On energetic grounds, two is preferred over the next structure by 0.262 eV/atom.

one | A crystal of Cd2OsRh relaxed with PBEsol, computed with meta-GGA SCAN.

Results
Space-group type = No. 71

Cell: 2.828 4.801 5.498 Å, 115.89 104.90 90.00°
Fractional positions:
Cd: 0.745 0.745 0.490
Cd: 0.255 0.255 0.510
Os: 0.500 0.000 0.000
Rh: 0.000 0.500 0.000

two | A crystal of Cd2OsRh relaxed with PBEsol, computed with meta-GGA SCAN.

Results
Space-group type = No. 12

Cell: 2.779 4.850 4.998 Å, 98.70 90.00 106.65°
Fractional positions:
Cd: 0.751 0.503 0.753
Cd: 0.249 0.497 0.247
Os: 0.000 0.000 0.500
Rh: 0.500 0.000 0.000

On energetic grounds, two is preferred over the next structure by 0.075 eV/atom.

one | A crystal of CdSb2Os relaxed with PBEsol, computed with meta-GGA SCAN.

Results
Space-group type = No. 122

Cell: 6.132 6.132 7.589 Å, 113.83 113.83 90.00°
Fractional positions:
Sb: 0.329 0.875 0.250
Sb: 0.921 0.375 0.250
Sb: 0.125 0.079 0.750
Sb: 0.625 0.671 0.750
Os: 0.250 0.750 0.500
Os: 0.000 0.000 0.000
Cd: 0.750 0.250 0.500
Cd: 0.500 0.500 0.000

two | A crystal of CdSb2Os relaxed with PBEsol, computed with meta-GGA SCAN.

Results
Space-group type = No. 139

Cell: 4.704 4.884 4.704 Å, 61.21 90.00 118.79°
Fractional positions:
Sb: 0.250 0.500 0.250
Sb: 0.750 0.500 0.750
Os: 0.000 0.000 0.000
Cd: 0.500 0.000 0.500

On energetic grounds, one is preferred over the next structure by 0.164 eV/atom.

one | A crystal of CdSb2Os relaxed with PBEsol, computed with meta-GGA SCAN.

Results
Space-group type = No. 166

Cell: 3.147 3.147 10.382 Å, 81.28 81.28 60.00°
Fractional positions:
Sb: 0.266 0.266 0.201
Sb: 0.734 0.734 0.799
Os: 0.000 0.000 0.000
Cd: 0.500 0.500 0.500

two | A crystal of CdSb2Os relaxed with PBEsol, computed with meta-GGA SCAN.

Results
Space-group type = No. 71

Cell: 3.112 4.687 6.757 Å, 110.29 103.31 90.00°
Fractional positions:
Sb: 0.678 0.678 0.355
Sb: 0.322 0.322 0.645
Os: 0.000 0.500 0.000
Cd: 0.500 0.000 0.000

On energetic grounds, two is preferred over the next structure by 0.112 eV/atom.

one | A crystal of CdOsSe relaxed with PBEsol, computed with meta-GGA SCAN.

Results
Space-group type = No. 216

Cell: 4.350 4.350 4.350 Å, 60.00 60.00 60.00°
Fractional positions:
Cd: 0.500 0.500 0.500
Os: 0.250 0.250 0.250
Se: 0.000 0.000 0.000

two | A crystal of CdOsSe relaxed with PBEsol, computed with meta-GGA SCAN.

Results
Space-group type = No. 156

Cell: 3.097 3.097 6.440 Å, 90.00 90.00 120.00°
Fractional positions:
Cd: 0.000 0.000 0.981
Os: 0.333 0.667 0.639
Se: 0.667 0.333 0.380

On energetic grounds, two is preferred over the next structure by 0.470 eV/atom.